Record 1
Here is a relaxed Li2ZnSi crystal from the Alexandria database. Energies are from GGA-PBE.

Calculated values
ΔE_f (raw): -0.56 eV/f.u.
size of the total moment: 0.00 μB/f.u.
calculated total energy: -2.77 eV per atom

```
Li2ZnSi
1.0
4.093 0.000 0.000
0.000 3.747 0.000
0.000 0.000 3.747
Si Zn Li
1 1 2
direct
0.500 0.500 0.000 Si
0.500 0.000 0.500 Zn
0.000 0.500 0.500 Li
0.000 0.000 0.000 Li
```

Record 2
Here is a relaxed TaV2Tc crystal from the Alexandria database. Energies are from GGA-PBE.

Calculated values
E above lowest polymorph: 1.380 eV/f.u.
size of the total moment: 0.00 μB/f.u.
calculated total energy: -10.00 eV per atom
formation energy: 0.12 eV per atom

```
TaV2Tc
1.0
-1.242 0.842 2.484
-2.805 0.741 0.041
-3.438 -7.472 2.510
Ta V Tc
1 2 1
direct
0.500 0.500 0.500 Ta
0.256 0.256 0.233 V
0.744 0.744 0.767 V
0.000 0.000 0.000 Tc
```

Record 3
Here is a relaxed Hf5ZrTc4 crystal from the Alexandria database. Energies are from GGA-PBE.

Calculated values
size of the total moment: 0.00 μB/f.u.
calculated total energy: -10.37 eV per atom
formation energy: -0.39 eV per atom

```
Hf5ZrTc4
1.0
3.279 0.000 0.000
0.000 3.279 0.000
0.000 0.000 17.187
Tc Hf Zr
4 5 1
direct
0.000 0.000 0.213 Tc
0.000 0.000 0.787 Tc
0.000 0.000 0.405 Tc
0.000 0.000 0.595 Tc
0.500 0.500 0.126 Hf
0.500 0.500 0.689 Hf
0.500 0.500 0.874 Hf
0.500 0.500 0.500 Hf
0.500 0.500 0.311 Hf
0.000 0.000 0.000 Zr
```

What is the formula in the third record?
Hf5ZrTc4

size of the total moment of number 1 (Li2ZnSi)?
0.00 μB/f.u.